TaRe2Te: relaxed, PBE-GGA.

Computed properties:
Space-group type ... Pmmm (47)
Mass density ... 15.86 g cm⁻³
Raw formation energy ... 488 meV per atom

a = 3.145 Å, b = 4.134 Å, c = 5.485 Å
α = 90.00°, β = 90.00°, γ = 90.00°
Sites, in units of the cell vectors:
Te  0.500  0.500  0.750
Re  0.000  0.000  0.474
Re  0.000  0.000  0.026
Ta  0.500  0.500  0.250